## one
This record from the Alexandria database describes an optimized crystal structure of PrNdCuIr. The functional is PBE-GGA.

Unit cell a=4.008 b=4.430 c=5.741 alpha=90.00 beta=110.43 gamma=90.00
Element x y z (fractional)
1 Pr 0.140 0.000 0.280
2 Cu 0.572 0.500 0.144
3 Nd 0.863 0.500 0.727
4 Ir 0.425 0.000 0.850

Properties
As for the space group: Amm2.



## two
This record from the Alexandria database describes an optimized crystal structure of PrNdCuIr. The functional is PBE-GGA.

Unit cell a=5.061 b=5.061 c=5.061 alpha=60.00 beta=60.00 gamma=60.00
Element x y z (fractional)
1 Nd 0.500 0.500 0.500
2 Cu 0.250 0.250 0.250
3 Ir 0.750 0.750 0.750
4 Pr 0.000 0.000 0.000

Properties
As for the space group: F-43m.



Of them, two has the lowest stability.



## one
This record from the Alexandria database describes an optimized crystal structure of TbNdCuIr. The functional is PBE-GGA.

Unit cell a=4.971 b=4.971 c=4.971 alpha=60.00 beta=60.00 gamma=60.00
Element x y z (fractional)
1 Ir 0.500 0.500 0.500
2 Cu 0.000 0.000 0.000
3 Tb 0.750 0.750 0.750
4 Nd 0.250 0.250 0.250

Properties
As for the space group: F-43m.



## two
This record from the Alexandria database describes an optimized crystal structure of TbNdCuIr. The functional is PBE-GGA.

Unit cell a=3.918 b=4.362 c=5.661 alpha=90.00 beta=110.25 gamma=90.00
Element x y z (fractional)
1 Tb 0.864 0.500 0.729
2 Ir 0.422 0.000 0.844
3 Cu 0.572 0.500 0.143
4 Nd 0.142 0.000 0.284

Properties
As for the space group: Amm2.



Of them, one has the lowest stability.



## one
This record from the Alexandria database describes an optimized crystal structure of NdTmCuIr. The functional is PBE-GGA.

Unit cell a=4.928 b=4.928 c=4.928 alpha=60.00 beta=60.00 gamma=60.00
Element x y z (fractional)
1 Ir 0.000 0.000 0.000
2 Nd 0.750 0.750 0.750
3 Cu 0.500 0.500 0.500
4 Tm 0.250 0.250 0.250

Properties
As for the space group: F-43m.



## two
This record from the Alexandria database describes an optimized crystal structure of NdTmCuIr. The functional is PBE-GGA.

Unit cell a=3.882 b=4.318 c=5.642 alpha=90.00 beta=110.12 gamma=90.00
Element x y z (fractional)
1 Ir 0.421 0.000 0.842
2 Cu 0.570 0.500 0.141
3 Nd 0.144 0.000 0.287
4 Tm 0.865 0.500 0.730

Properties
As for the space group: Amm2.



Of them, one has the lowest stability.



## one
This record from the Alexandria database describes an optimized crystal structure of CuNiIr2. The functional is PBE-GGA.

Unit cell a=4.230 b=4.230 c=4.230 alpha=59.99 beta=59.99 gamma=60.00
Element x y z (fractional)
1 Ni 0.500 0.500 0.500
2 Ir 0.000 0.000 0.000
3 Ir 0.250 0.250 0.250
4 Cu 0.750 0.750 0.750

Properties
As for the space group: F-43m.



## two
This record from the Alexandria database describes an optimized crystal structure of CuNiIr2. The functional is PBE-GGA.

Unit cell a=2.719 b=2.719 c=7.084 alpha=90.00 beta=90.00 gamma=90.00
Element x y z (fractional)
1 Ni 0.000 0.000 0.506
2 Ir 0.000 0.000 0.997
3 Ir 0.500 0.500 0.261
4 Cu 0.500 0.500 0.736

Properties
As for the space group: P4mm.



## three
This record from the Alexandria database describes an optimized crystal structure of CuNiIr2. The functional is PBE-GGA.

Unit cell a=7.058 b=7.058 c=5.539 alpha=50.42 beta=50.42 gamma=90.00
Element x y z (fractional)
1 Ir 0.173 0.625 0.250
2 Ir 0.875 0.827 0.750
3 Ir 0.577 0.125 0.250
4 Ir 0.375 0.423 0.750
5 Ni 0.500 0.500 0.000
6 Ni 0.250 0.750 0.500
7 Cu 0.000 0.000 0.000
8 Cu 0.750 0.250 0.500

Properties
As for the space group: I-42d.



## four
This record from the Alexandria database describes an optimized crystal structure of CuNiIr2. The functional is PBE-GGA.

Unit cell a=8.616 b=8.616 c=8.616 alpha=17.95 beta=17.95 gamma=17.95
Element x y z (fractional)
1 Ir 0.502 0.502 0.502
2 Ir 0.998 0.998 0.998
3 Cu 0.750 0.750 0.750
4 Ni 0.250 0.250 0.250

Properties
As for the space group: R-3m.



Of them, three has the lowest stability.



## one
This record from the Alexandria database describes an optimized crystal structure of CuNiIr2. The functional is PBE-GGA.

Unit cell a=2.652 b=2.652 c=8.772 alpha=90.00 beta=90.00 gamma=118.61
Element x y z (fractional)
1 Cu 0.500 0.500 0.750
2 Ir 0.000 0.000 0.496
3 Ir 0.000 0.000 0.004
4 Ni 0.500 0.500 0.250

Properties
As for the space group: Cmmm.



## two
This record from the Alexandria database describes an optimized crystal structure of CuNiIr2. The functional is PBE-GGA.

Unit cell a=4.553 b=4.553 c=2.673 alpha=90.00 beta=90.00 gamma=108.67
Element x y z (fractional)
1 Ni 0.500 0.000 0.500
2 Ir 0.500 0.500 0.000
3 Ir 0.000 0.000 0.000
4 Cu 0.000 0.500 0.500

Properties
As for the space group: Cmmm.



## three
This record from the Alexandria database describes an optimized crystal structure of CuNiIr2. The functional is PBE-GGA.

Unit cell a=4.603 b=4.603 c=4.495 alpha=80.14 beta=80.14 gamma=34.23
Element x y z (fractional)
1 Ni 0.503 0.503 0.515
2 Ir 0.997 0.997 0.018
3 Ir 0.250 0.250 0.236
4 Cu 0.751 0.751 0.732

Properties
As for the space group: Cm.



## four
This record from the Alexandria database describes an optimized crystal structure of CuNiIr2. The functional is PBE-GGA.

Unit cell a=2.666 b=2.666 c=8.812 alpha=90.00 beta=90.00 gamma=119.79
Element x y z (fractional)
1 Ni 0.000 0.000 0.505
2 Cu 0.500 0.500 0.740
3 Ir 0.000 0.000 0.995
4 Ir 0.500 0.500 0.260

Properties
As for the space group: Cmm2.



Of them, four has the lowest stability.



## one
This record from the Alexandria database describes an optimized crystal structure of CuNiIr2. The functional is PBE-GGA.

Unit cell a=4.622 b=5.134 c=2.651 alpha=75.57 beta=88.86 gamma=116.43
Element x y z (fractional)
1 Ir 0.500 0.000 0.500
2 Ir 0.000 0.000 0.000
3 Ni 0.000 0.500 0.500
4 Cu 0.500 0.500 0.000

Properties
As for the space group: C2/m.



## two
This record from the Alexandria database describes an optimized crystal structure of CuNiIr2. The functional is PBE-GGA.

Unit cell a=4.517 b=4.517 c=4.517 alpha=130.30 beta=130.30 gamma=72.92
Element x y z (fractional)
1 Cu 0.750 0.250 0.500
2 Ir 0.000 0.000 0.000
3 Ir 0.500 0.500 0.000
4 Ni 0.250 0.750 0.500

Properties
As for the space group: I4/mmm.



Of them, one has the lowest stability.